1.
Computed, not measured: a geometry-optimized Ce2SmTmSe4 structure at the PBE level of DFT.

Cell and atoms, written as CIF:
```
data_Ce2SmTmSe4
_cell_length_a 7.1658
_cell_length_b 4.1131
_cell_length_c 7.2597
_cell_angle_alpha 90.00
_cell_angle_beta 108.99
_cell_angle_gamma 90.00
_symmetry_space_group_name_H-M 'P 1 2/m 1'
_symmetry_Int_Tables_number 10
loop_
_symmetry_equiv_pos_as_xyz
'x,y,z'
'-x,-y,-z'
'-x,y,-z'
'x,-y,z'
loop_
_atom_site_label
_atom_site_fract_x
_atom_site_fract_y
_atom_site_fract_z
_atom_site_occupancy
Ce1 0.0000 0.0000 0.0000 1
Ce2 0.5000 0.5000 0.0000 1
Sm1 0.0000 0.5000 0.5000 1
Tm1 0.5000 0.0000 0.5000 1
Se1 0.2542 0.0000 0.7418 1
Se2 0.2613 0.5000 0.2632 1
```

Properties
E   -6.163 eV/atom
Total magnetic moment   2.067 μB per formula unit

---

2.
Computed, not measured: a geometry-optimized ScNb2O structure at the PBE level of DFT.

Cell and atoms, written as CIF:
```
data_ScNb2O
_cell_length_a 7.5312
_cell_length_b 7.5312
_cell_length_c 4.5416
_cell_angle_alpha 90.00
_cell_angle_beta 90.00
_cell_angle_gamma 90.00
_symmetry_space_group_name_H-M 'I -4 2 d'
_symmetry_Int_Tables_number 122
_symmetry_space_group_name_Hall 'I -4 2bw'
loop_
_atom_site_label
_atom_site_fract_x
_atom_site_fract_y
_atom_site_fract_z
_atom_site_occupancy
Sc1 0.0000 0.0000 0.0000 1
Nb1 0.1340 0.2500 0.6250 1
O1 0.0000 0.0000 0.5000 1
```

Properties
E   -8.620 eV/atom
Total magnetic moment   0.000 μB per formula unit

---

3.
Computed, not measured: a geometry-optimized La2ScRu structure at the PBE level of DFT.

Cell and atoms, written as CIF:
```
data_La2ScRu
_cell_length_a 8.8828
_cell_length_b 8.8828
_cell_length_c 5.9023
_cell_angle_alpha 90.00
_cell_angle_beta 90.00
_cell_angle_gamma 90.00
_symmetry_space_group_name_H-M 'I -4 2 d'
_symmetry_Int_Tables_number 122
_symmetry_space_group_name_Hall 'I -4 2bw'
loop_
_atom_site_label
_atom_site_fract_x
_atom_site_fract_y
_atom_site_fract_z
_atom_site_occupancy
La1 0.1612 0.2500 0.1250 1
Sc1 0.0000 0.0000 0.5000 1
Ru1 0.0000 0.0000 0.0000 1
```

Properties
E   -6.277 eV/atom
Total magnetic moment   0.000 μB per formula unit
Energy above the most stable polymorph in this dataset   0.90 eV per formula unit
Calculated formation energy   0.09 eV per atom

---

4.
Computed, not measured: a geometry-optimized CrCd5 structure at the PBE level of DFT.

Cell and atoms, written as CIF:
```
data_CrCd5
_cell_length_a 4.3212
_cell_length_b 13.0939
_cell_length_c 4.4055
_cell_angle_alpha 90.00
_cell_angle_beta 90.00
_cell_angle_gamma 90.00
_symmetry_space_group_name_H-M 'C m m m'
_symmetry_Int_Tables_number 65
_symmetry_space_group_name_Hall '-C 2 2'
loop_
_atom_site_label
_atom_site_fract_x
_atom_site_fract_y
_atom_site_fract_z
_atom_site_occupancy
Cr1 0.0000 0.0000 0.0000 1
Cd1 0.0000 0.1618 0.5000 1
Cd2 0.0000 0.3369 0.0000 1
Cd3 0.0000 0.5000 0.5000 1
```

Properties
E   -2.209 eV/atom
Total magnetic moment   3.852 μB per formula unit
Calculated formation energy   0.16 eV per atom

---

Calculated density
In order: 7.5; 6.4; 6.0; 8.2
Unit: g/cm³